1 | Entry from Alexandria via LeMat-Bulk: a geometry-optimized HgAsH structure (PBE).

Cell lengths 8.0150, 7.4106, 4.7035 Å; angles 90.00, 90.00, 90.00 degrees
Fractional positions:
H (0.6425, 0.2500, 0.0518)
H (0.8575, 0.7500, 0.5518)
H (0.3575, 0.7500, 0.9482)
H (0.1425, 0.2500, 0.4482)
As (0.4537, 0.2500, 0.1234)
As (0.0463, 0.7500, 0.6234)
As (0.5463, 0.7500, 0.8766)
As (0.9537, 0.2500, 0.3766)
Hg (0.0000, 0.0000, 0.0000)
Hg (0.5000, 0.5000, 0.5000)
Hg (0.5000, 0.0000, 0.5000)
Hg (0.0000, 0.5000, 0.0000)

2 | Entry from Alexandria via LeMat-Bulk: a geometry-optimized HgAsH structure (PBE).

Cell lengths 2.9160, 13.2095, 9.5264 Å; angles 158.17, 90.22, 89.88 degrees
Fractional positions:
Hg (0.4987, 0.3413, 0.6526)
Hg (0.5013, 0.6587, 0.3474)
As (0.5014, 0.1264, 0.7767)
As (0.4986, 0.8736, 0.2233)
H (0.9943, 0.4546, 0.4096)
H (0.0057, 0.5454, 0.5904)

Q: Which of them is the most stable? A: 1.

1 | Entry from Alexandria via LeMat-Bulk: a geometry-optimized Na2HgAsH structure (PBE).

Cell lengths 5.3539, 5.3539, 3.5392 Å; angles 90.00, 90.00, 90.00 degrees
Fractional positions:
Na (0.0000, 0.5000, 0.0000)
Na (0.5000, 0.0000, 0.0000)
As (0.0000, 0.0000, 0.5000)
Hg (0.5000, 0.5000, 0.5000)
H (0.0000, 0.0000, 0.0000)

2 | Entry from Alexandria via LeMat-Bulk: a geometry-optimized Na2HgAsH structure (PBE).

Cell lengths 4.3312, 4.3312, 4.8385 Å; angles 90.00, 90.00, 90.00 degrees
Fractional positions:
Na (0.0000, 0.5000, 0.0000)
Na (0.5000, 0.0000, 0.0000)
As (0.5000, 0.5000, 0.5000)
Hg (0.0000, 0.0000, 0.5000)
H (0.0000, 0.0000, 0.0000)

Q: Which of them is the most stable? A: 1.

1 | Entry from Alexandria via LeMat-Bulk: a geometry-optimized ReHgAsH structure (PBE).

Cell lengths 7.8613, 3.2299, 5.5783 Å; angles 90.00, 103.80, 90.00 degrees
Fractional positions:
Re (0.4944, 0.0000, 0.0649)
Re (0.4944, 0.5000, 0.5649)
Hg (0.7977, 0.0000, 0.4977)
Hg (0.7977, 0.5000, 0.9977)
As (0.2965, 0.0000, 0.6649)
As (0.2965, 0.5000, 0.1649)
H (0.0864, 0.0000, 0.5945)
H (0.0864, 0.5000, 0.0945)

2 | Entry from Alexandria via LeMat-Bulk: a geometry-optimized ReHgAsH structure (PBE).

Cell lengths 5.5254, 3.1217, 8.6666 Å; angles 90.00, 95.84, 90.00 degrees
Fractional positions:
Re (0.6789, 0.0000, 0.9270)
Re (0.6789, 0.5000, 0.4270)
Hg (0.1834, 0.0000, 0.9394)
Hg (0.1834, 0.5000, 0.4394)
As (0.6611, 0.0000, 0.2113)
As (0.6611, 0.5000, 0.7113)
H (0.8017, 0.0000, 0.5111)
H (0.8017, 0.5000, 0.0111)

3 | Entry from Alexandria via LeMat-Bulk: a geometry-optimized ReHgAsH structure (PBE).

Cell lengths 3.1033, 4.5503, 5.3638 Å; angles 89.06, 73.24, 70.06 degrees
Fractional positions:
Re (0.2215, 0.1530, 0.3289)
Hg (0.8692, 0.3056, 0.8794)
As (0.8946, 0.7335, 0.4029)
H (0.4870, 0.8891, 0.0638)

4 | Entry from Alexandria via LeMat-Bulk: a geometry-optimized ReHgAsH structure (PBE).

Cell lengths 3.0885, 4.6281, 5.5235 Å; angles 75.82, 73.25, 70.52 degrees
Fractional positions:
Re (0.7511, 0.7040, 0.6646)
Hg (0.4791, 0.7032, 0.1952)
As (0.0391, 0.1406, 0.6513)
H (0.2584, 0.5335, 0.8139)

Q: Which of them is the most stable? A: 2.

1 | Entry from Alexandria via LeMat-Bulk: a geometry-optimized ReHgAsH structure (PBE).

Cell lengths 3.1407, 3.1407, 22.0378 Å; angles 90.00, 90.00, 120.00 degrees
Fractional positions:
Re (0.0000, 0.0000, 0.8873)
Re (0.3333, 0.6667, 0.5539)
Re (0.6667, 0.3333, 0.2206)
Hg (0.0000, 0.0000, 0.7583)
Hg (0.3333, 0.6667, 0.4249)
Hg (0.6667, 0.3333, 0.0916)
As (0.0000, 0.0000, 0.6310)
As (0.3333, 0.6667, 0.2977)
As (0.6667, 0.3333, 0.9643)
H (0.0000, 0.0000, 0.5210)
H (0.3333, 0.6667, 0.1876)
H (0.6667, 0.3333, 0.8543)

2 | Entry from Alexandria via LeMat-Bulk: a geometry-optimized ReHgAsH structure (PBE).

Cell lengths 3.1689, 3.1176, 12.7710 Å; angles 90.00, 90.00, 90.00 degrees
Fractional positions:
Re (0.5000, 0.0000, 0.3126)
Re (0.5000, 0.5000, 0.8126)
Hg (0.0000, 0.0000, 0.1220)
Hg (0.0000, 0.5000, 0.6220)
As (0.0000, 0.0000, 0.9120)
As (0.0000, 0.5000, 0.4120)
H (0.5000, 0.0000, 0.7368)
H (0.5000, 0.5000, 0.2368)

3 | Entry from Alexandria via LeMat-Bulk: a geometry-optimized ReHgAsH structure (PBE).

Cell lengths 3.2171, 3.2171, 5.8876 Å; angles 90.00, 90.00, 90.00 degrees
Fractional positions:
Re (0.0000, 0.0000, 0.5469)
Hg (0.5000, 0.5000, 0.2060)
As (0.5000, 0.5000, 0.7441)
H (0.0000, 0.0000, 0.8281)

Q: Which of them is the most stable? A: 2.